Record 1
MnSbAsI2 | PBE | optimized geometry

a = 5.261 Å, b = 5.261 Å, c = 5.778 Å
α = 90.00°, β = 90.00°, γ = 90.00°
Fractional positions:
Mn  0.000  0.000  0.000
Sb  0.000  0.000  0.500
As  0.500  0.500  0.500
I  0.000  0.500  0.000
I  0.500  0.000  0.000

Calculated values
- DOS(E_F) (states/eV/f.u.) = 2.5
- uncorrected energy (eV/atom) = -3.639
- V (A^3/atom) = 32.0
- total moment (μB per formula unit) = 5.1
- E_form (uncorrected) (eV/atom) = 0.57

***

Record 2
SrTmSn6 | PBE | optimized geometry

a = 4.816 Å, b = 4.816 Å, c = 9.426 Å
α = 90.00°, β = 90.00°, γ = 90.00°
Fractional positions:
Sr  0.000  0.000  0.000
Tm  0.000  0.000  0.500
Sn  0.000  0.500  0.260
Sn  0.000  0.500  0.740
Sn  0.500  0.000  0.260
Sn  0.500  0.000  0.740
Sn  0.500  0.500  0.000
Sn  0.500  0.500  0.500

Calculated values
- DOS(E_F) (states/eV/f.u.) = 2.9
- uncorrected energy (eV/atom) = -4.163
- V (A^3/atom) = 27.3
- total moment (μB per formula unit) = 0.0
- energy relative to the elements (eV/atom) = -0.392

***

Record 3
InGaGe2 | PBE | optimized geometry

a = 7.133 Å, b = 7.133 Å, c = 7.133 Å
α = 31.48°, β = 31.48°, γ = 31.48°
Fractional positions:
In  0.000  0.000  0.000
Ga  0.500  0.500  0.500
Ge  0.237  0.237  0.237
Ge  0.763  0.763  0.763

Calculated values
- DOS(E_F) (states/eV/f.u.) = 1.4
- uncorrected energy (eV/atom) = -3.582
- V (A^3/atom) = 22.0
- total moment (μB per formula unit) = 0.0
- energy relative to the elements (eV/atom) = 0.168